Entry from Alexandria via LeMat-Bulk: a geometry-optimized PrY3HoSc structure (PBE).

Cell and atoms, written as CIF:
```
data_PrY3HoSc
_cell_length_a 4.9842
_cell_length_b 15.0159
_cell_length_c 10.0443
_cell_angle_alpha 90.00
_cell_angle_beta 90.00
_cell_angle_gamma 90.00
_space_group_name_H-M_alt 'C m c m'
_space_group_IT_number 63
_space_group_name_Hall '-C 2c 2'
loop_
_atom_site_label
_atom_site_fract_x
_atom_site_fract_y
_atom_site_fract_z
Pr1 0.0000 0.0032 0.2500
Y1 0.0000 0.1671 0.0009
Y2 0.0000 0.3305 0.2500
Ho1 0.0000 0.5000 0.0000
Sc1 0.0000 0.3323 0.7500
```

Calculated values
DFT total energy (eV per atom): -5.803
Magnetic moment (μB per cell): 0.00
DFT formation energy (kJ/mol of atoms): 4.2
Theoretical density (g/cm3): 5.456